1.
Below is an optimized crystal structure of Nd5PdPt2, with properties calculated at the PBE-GGA level.

Values from the calculation:
DFT formation energy in eV per formula unit: -6.1
Calculated density in kg/m³: 9329
DOS at the Fermi energy in states/eV/f.u.: 8.2
Spin magnetization in μB/cell: 0.00

Cell: 7.959 7.959 8.860 Å, 116.69 116.69 90.00°
Sites, in units of the cell vectors:
Pt  0.632  0.132  0.000
Pt  0.132  0.368  0.000
Nd  0.306  0.806  0.282
Nd  0.524  0.694  0.718
Nd  0.694  0.194  0.718
Nd  0.476  0.306  0.282
Nd  0.194  0.024  0.718
Nd  0.976  0.476  0.282
Pd  0.750  0.750  0.500
Pt  0.868  0.632  0.000
Nd  0.024  0.524  0.718
Nd  0.000  0.000  0.000
Nd  0.806  0.976  0.282
Pt  0.368  0.868  0.000
Pd  0.250  0.250  0.500
Nd  0.500  0.500  0.000

2.
Below is an optimized crystal structure of Nd5Pd2Pt, with properties calculated at the PBE-GGA level.

Values from the calculation:
DFT formation energy in eV per formula unit: -5.1
Calculated density in kg/m³: 8741
DOS at the Fermi energy in states/eV/f.u.: 10.9
Spin magnetization in μB/cell: 0.00

Cell: 7.503 7.503 9.285 Å, 113.83 113.83 90.00°
Sites, in units of the cell vectors:
Pd  0.369  0.869  0.000
Nd  0.980  0.480  0.297
Pd  0.631  0.131  0.000
Nd  0.520  0.683  0.703
Nd  0.817  0.980  0.297
Pt  0.750  0.750  0.500
Pt  0.250  0.250  0.500
Pd  0.131  0.369  0.000
Nd  0.183  0.020  0.703
Nd  0.500  0.500  0.000
Pd  0.869  0.631  0.000
Nd  0.000  0.000  0.000
Nd  0.317  0.817  0.297
Nd  0.480  0.317  0.297
Nd  0.683  0.183  0.703
Nd  0.020  0.520  0.703

3.
Below is an optimized crystal structure of Nd3Pd4Pt4, with properties calculated at the PBE-GGA level.

Values from the calculation:
DFT formation energy in eV per formula unit: -5.1
Calculated density in kg/m³: 11115
DOS at the Fermi energy in states/eV/f.u.: 7.8
Spin magnetization in μB/cell: 0.00

Cell: 6.826 6.826 6.826 Å, 109.47 109.47 109.47°
Sites, in units of the cell vectors:
Pd  0.245  0.000  0.000
Pd  0.755  0.755  0.755
Pt  0.000  0.000  0.606
Pd  0.000  0.000  0.245
Pt  0.394  0.394  0.394
Pt  0.606  0.000  0.000
Nd  0.000  0.500  0.500
Pd  0.000  0.245  0.000
Pt  0.000  0.606  0.000
Nd  0.500  0.500  0.000
Nd  0.500  0.000  0.500

4.
Below is an optimized crystal structure of Nd12Pd6Pt, with properties calculated at the PBE-GGA level.

Values from the calculation:
DFT formation energy in eV per formula unit: -9.5
Calculated density in kg/m³: 7184
DOS at the Fermi energy in states/eV/f.u.: 23.0
Spin magnetization in μB/cell: 0.00

Cell: 8.518 8.518 8.518 Å, 98.95 98.95 98.95°
Sites, in units of the cell vectors:
Pd  0.868  0.383  0.690
Pd  0.690  0.868  0.383
Nd  0.582  0.422  0.820
Nd  0.677  0.922  0.050
Pd  0.310  0.132  0.617
Pd  0.383  0.690  0.868
Pd  0.132  0.617  0.310
Nd  0.578  0.180  0.418
Nd  0.820  0.582  0.422
Pt  0.000  0.000  0.000
Nd  0.078  0.950  0.323
Pd  0.617  0.310  0.132
Nd  0.050  0.677  0.922
Nd  0.950  0.323  0.078
Nd  0.922  0.050  0.677
Nd  0.180  0.418  0.578
Nd  0.418  0.578  0.180
Nd  0.323  0.078  0.950
Nd  0.422  0.820  0.582

5.
Below is an optimized crystal structure of NdPd4Pt, with properties calculated at the PBE-GGA level.

Values from the calculation:
DFT formation energy in eV per formula unit: -2.5
Calculated density in kg/m³: 11366
DOS at the Fermi energy in states/eV/f.u.: 5.1
Spin magnetization in μB/cell: 0.00

Cell: 4.208 6.930 7.666 Å, 90.00 90.00 90.00°
Sites, in units of the cell vectors:
Pd  0.500  0.301  0.964
Pd  0.000  0.000  0.500
Pd  0.500  0.699  0.464
Pd  0.500  0.030  0.250
Pd  0.500  0.301  0.536
Nd  0.000  0.343  0.250
Pt  0.000  0.259  0.750
Nd  0.000  0.657  0.750
Pd  0.500  0.699  0.036
Pd  0.000  0.000  0.000
Pt  0.000  0.741  0.250
Pd  0.500  0.970  0.750

6.
Below is an optimized crystal structure of Nd6PdPt3, with properties calculated at the PBE-GGA level.

Values from the calculation:
DFT formation energy in eV per formula unit: -7.7
Calculated density in kg/m³: 8800
DOS at the Fermi energy in states/eV/f.u.: 8.5
Spin magnetization in μB/cell: 0.00

Cell: 7.292 9.124 9.124 Å, 104.53 90.00 90.00°
Sites, in units of the cell vectors:
Pt  0.975  0.707  0.929
Nd  0.259  0.009  0.991
Pd  0.497  0.843  0.157
Pd  0.997  0.157  0.843
Nd  0.140  0.763  0.237
Nd  0.673  0.644  0.694
Nd  0.640  0.237  0.763
Nd  0.673  0.306  0.356
Nd  0.203  0.437  0.898
Pt  0.475  0.929  0.707
Pt  0.975  0.071  0.293
Pt  0.887  0.600  0.400
Nd  0.173  0.356  0.306
Nd  0.203  0.102  0.563
Pt  0.387  0.400  0.600
Nd  0.703  0.563  0.102
Nd  0.173  0.694  0.644
Nd  0.703  0.898  0.437
Nd  0.759  0.991  0.009
Pt  0.475  0.293  0.071

Copy entry 4 word for word.
Below is an optimized crystal structure of Nd12Pd6Pt, with properties calculated at the PBE-GGA level.

Values from the calculation:
DFT formation energy in eV per formula unit: -9.5
Calculated density in kg/m³: 7184
DOS at the Fermi energy in states/eV/f.u.: 23.0
Spin magnetization in μB/cell: 0.00

Cell: 8.518 8.518 8.518 Å, 98.95 98.95 98.95°
Sites, in units of the cell vectors:
Pd  0.868  0.383  0.690
Pd  0.690  0.868  0.383
Nd  0.582  0.422  0.820
Nd  0.677  0.922  0.050
Pd  0.310  0.132  0.617
Pd  0.383  0.690  0.868
Pd  0.132  0.617  0.310
Nd  0.578  0.180  0.418
Nd  0.820  0.582  0.422
Pt  0.000  0.000  0.000
Nd  0.078  0.950  0.323
Pd  0.617  0.310  0.132
Nd  0.050  0.677  0.922
Nd  0.950  0.323  0.078
Nd  0.922  0.050  0.677
Nd  0.180  0.418  0.578
Nd  0.418  0.578  0.180
Nd  0.323  0.078  0.950
Nd  0.422  0.820  0.582

Copy entry 6 word for word.
Below is an optimized crystal structure of Nd6PdPt3, with properties calculated at the PBE-GGA level.

Values from the calculation:
DFT formation energy in eV per formula unit: -7.7
Calculated density in kg/m³: 8800
DOS at the Fermi energy in states/eV/f.u.: 8.5
Spin magnetization in μB/cell: 0.00

Cell: 7.292 9.124 9.124 Å, 104.53 90.00 90.00°
Sites, in units of the cell vectors:
Pt  0.975  0.707  0.929
Nd  0.259  0.009  0.991
Pd  0.497  0.843  0.157
Pd  0.997  0.157  0.843
Nd  0.140  0.763  0.237
Nd  0.673  0.644  0.694
Nd  0.640  0.237  0.763
Nd  0.673  0.306  0.356
Nd  0.203  0.437  0.898
Pt  0.475  0.929  0.707
Pt  0.975  0.071  0.293
Pt  0.887  0.600  0.400
Nd  0.173  0.356  0.306
Nd  0.203  0.102  0.563
Pt  0.387  0.400  0.600
Nd  0.703  0.563  0.102
Nd  0.173  0.694  0.644
Nd  0.703  0.898  0.437
Nd  0.759  0.991  0.009
Pt  0.475  0.293  0.071

Among the records above, which one has the highest DFT formation energy? NdPd4Pt